DFT (GGA-PBEsol) results for a geometry-optimized LuSnIr structure.

Values from the calculation:
V ... 19.68 Å³/atom
Magnetization ... 0.000 μB per atom
E_tot ... -64.72 eV/cell
N(E_F) ... 0.580 states/eV per atom
Density ... 13.67 Mg/m³

Lattice parameters (Å, degrees): 7.4279 7.4279 3.7062 90.00 90.00 120.00
With the nearest neighbours (Å) after each atom.
Space group P-62m (No. 189)
Unique sites:
1 Lu 0.0000 0.5979 0.0000 [3 per cell]  5 Ir 2.93-2.99, 6 Sn 3.08-3.22
2 Sn 0.0000 0.2660 0.5000 [3 per cell]  4 Ir 2.71-2.76
3 Ir 0.0000 0.0000 0.0000 [1 per cell]  6 Sn 2.71, 3 Lu 2.99
4 Ir 0.3333 0.6667 0.5000 [2 per cell]  3 Sn 2.76, 6 Lu 2.93